[1]
This record from Alexandria via LeMat-Bulk describes a relaxed LaFeRu4 crystal. The functional is PBE.

Output
* energy of formation: 33 kJ/mol of atoms
* space group: F-43m (216)

Unit cell a=5.288 b=5.288 c=5.288 alpha=60.00 beta=60.00 gamma=60.00
Element x y z (fractional)
La  0.000  0.000  0.000
Fe  0.750  0.750  0.750
Ru  0.872  0.376  0.376
Ru  0.376  0.376  0.872
Ru  0.376  0.872  0.376
Ru  0.376  0.376  0.376

[2]
This record from Alexandria via LeMat-Bulk describes a relaxed Sm3Ho3Tl2 crystal. The functional is PBE.

Output
* energy of formation: -18 kJ/mol of atoms
* space group: Pmmm (47)

Unit cell a=4.860 b=4.879 c=9.845 alpha=90.00 beta=90.00 gamma=90.00
Element x y z (fractional)
Sm  0.500  0.000  0.500
Sm  0.000  0.500  0.000
Sm  0.000  0.500  0.500
Ho  0.500  0.500  0.751
Ho  0.500  0.500  0.249
Ho  0.500  0.000  0.000
Tl  0.000  0.000  0.753
Tl  0.000  0.000  0.247

[3]
This record from Alexandria via LeMat-Bulk describes a relaxed ReMo2Rh crystal. The functional is PBE.

Output
* energy of formation: 5 kJ/mol of atoms
* space group: C2/m (12)

Unit cell a=4.810 b=4.810 c=4.861 alpha=80.67 beta=80.67 gamma=33.26
Element x y z (fractional)
Mo  0.003  0.003  0.997
Mo  0.497  0.497  0.503
Re  0.250  0.250  0.250
Rh  0.750  0.750  0.750

[4]
This record from Alexandria via LeMat-Bulk describes a relaxed BeAsP2O crystal. The functional is PBE.

Output
* formation energy (no corrections): -0.004 eV/atom
* space group: P4/mmm (123)

Unit cell a=4.935 b=4.935 c=2.933 alpha=90.00 beta=90.00 gamma=90.00
Element x y z (fractional)
P  0.000  0.500  0.000
P  0.500  0.000  0.000
As  0.500  0.500  0.500
O  0.000  0.000  0.500
Be  0.000  0.000  0.000

[5]
This record from Alexandria via LeMat-Bulk describes a relaxed V3CrH7 crystal. The functional is PBE.

Output
* total DFT energy (no corrections): -0.415 Ry/atom
* space group: Cm (8)

Unit cell a=4.137 b=4.137 c=5.057 alpha=66.03 beta=66.03 gamma=89.73
Element x y z (fractional)
V  0.744  0.252  0.504
V  0.498  0.498  0.995
V  0.252  0.744  0.504
Cr  0.002  0.002  0.999
H  0.125  0.125  0.244
H  0.627  0.122  0.248
H  0.881  0.370  0.754
H  0.122  0.627  0.248
H  0.630  0.630  0.245
H  0.370  0.881  0.754
H  0.874  0.874  0.755

[6]
This record from Alexandria via LeMat-Bulk describes a relaxed Ba2NaC2 crystal. The functional is PBE.

Output
* energy of formation: 125 kJ/mol of atoms
* space group: P4/mbm (127)

Unit cell a=8.417 b=8.417 c=3.410 alpha=90.00 beta=90.00 gamma=90.00
Element x y z (fractional)
Na  0.000  0.000  0.000
Na  0.500  0.500  0.000
C  0.158  0.658  0.500
C  0.658  0.842  0.500
C  0.842  0.342  0.500
C  0.342  0.158  0.500
Ba  0.358  0.858  0.000
Ba  0.858  0.642  0.000
Ba  0.642  0.142  0.000
Ba  0.142  0.358  0.000

[7]
This record from Alexandria via LeMat-Bulk describes a relaxed Th12Sn3Ir5 crystal. The functional is PBE.

Output
* energy of formation: -28 kJ/mol of atoms
* space group: Ia-3d (230)

Unit cell a=15.144 b=15.144 c=15.144 alpha=109.47 beta=109.47 gamma=109.47
Element x y z (fractional)
Sn  0.750  0.375  0.125
Sn  0.875  0.750  0.125
Sn  0.375  0.750  0.625
Sn  0.250  0.125  0.375
Sn  0.875  0.125  0.250
Sn  0.375  0.625  0.250
Sn  0.625  0.375  0.750
Sn  0.125  0.875  0.750
Sn  0.750  0.875  0.625
Sn  0.625  0.250  0.375
Sn  0.125  0.250  0.875
Sn  0.250  0.625  0.875
Ir  0.125  0.375  0.250
Ir  0.000  0.500  0.000
Ir  0.000  0.000  0.000
Ir  0.375  0.250  0.125
Ir  0.500  0.000  0.500
Ir  0.500  0.500  0.000
Ir  0.125  0.750  0.375
Ir  0.750  0.125  0.875
Ir  0.750  0.625  0.375
Ir  0.375  0.125  0.750
Ir  0.625  0.875  0.250
Ir  0.500  0.500  0.500
Ir  0.500  0.000  0.000
Ir  0.000  0.000  0.500
Ir  0.250  0.375  0.625
Ir  0.250  0.875  0.125
Ir  0.000  0.500  0.500
Ir  0.875  0.250  0.625
Ir  0.625  0.750  0.875
Ir  0.875  0.625  0.750
Th  0.709  0.123  0.036
Th  0.327  0.536  0.412
Th  0.964  0.377  0.291
Th  0.536  0.209  0.123
Th  0.586  0.709  0.673
Th  0.964  0.588  0.173
Th  0.327  0.791  0.414
Th  0.088  0.914  0.123
Th  0.588  0.964  0.673
Th  0.709  0.586  0.173
Th  0.791  0.464  0.377
Th  0.827  0.912  0.036
Th  0.123  0.709  0.536
Th  0.377  0.412  0.086
Th  0.086  0.912  0.377
Th  0.414  0.123  0.588
Th  0.086  0.173  0.209
Th  0.464  0.673  0.088
Th  0.827  0.914  0.291
Th  0.123  0.414  0.088
Th  0.377  0.964  0.791
Th  0.588  0.623  0.414
Th  0.912  0.827  0.536
Th  0.791  0.327  0.914
Th  0.412  0.377  0.586
Th  0.088  0.173  0.464
Th  0.209  0.673  0.086
Th  0.173  0.086  0.709
Th  0.623  0.036  0.209
Th  0.877  0.586  0.912
Th  0.536  0.327  0.912
Th  0.586  0.877  0.412
Th  0.914  0.827  0.791
Th  0.914  0.088  0.623
Th  0.877  0.291  0.464
Th  0.173  0.088  0.964
Th  0.623  0.588  0.914
Th  0.412  0.036  0.327
Th  0.291  0.414  0.827
Th  0.209  0.536  0.623
Th  0.912  0.086  0.877
Th  0.673  0.209  0.586
Th  0.464  0.791  0.877
Th  0.036  0.412  0.827
Th  0.414  0.291  0.327
Th  0.036  0.623  0.709
Th  0.673  0.464  0.588
Th  0.291  0.877  0.964

[8]
This record from Alexandria via LeMat-Bulk describes a relaxed InHF3 crystal. The functional is PBE.

Output
* total DFT energy (no corrections): -0.262 Ry/atom
* space group: Pm-3m (221)

Unit cell a=3.653 b=3.653 c=3.653 alpha=90.00 beta=90.00 gamma=90.00
Element x y z (fractional)
H  0.000  0.000  0.000
F  0.000  0.500  0.000
F  0.000  0.000  0.500
F  0.500  0.000  0.000
In  0.500  0.500  0.500

[9]
This record from Alexandria via LeMat-Bulk describes a relaxed SbAsPI2 crystal. The functional is PBE.

Output
* formation energy (no corrections): 0.736 eV/atom
* space group: P4/mmm (123)

Unit cell a=5.306 b=5.306 c=5.544 alpha=90.00 beta=90.00 gamma=90.00
Element x y z (fractional)
I  0.000  0.500  0.000
I  0.500  0.000  0.000
Sb  0.000  0.000  0.500
As  0.500  0.500  0.500
P  0.000  0.000  0.000

[10]
This record from Alexandria via LeMat-Bulk describes a relaxed Nb2TlTc crystal. The functional is PBE.

Output
* energy of formation: 56 kJ/mol of atoms
* space group: I-42d (122)

Unit cell a=7.602 b=7.602 c=6.061 alpha=51.16 beta=51.16 gamma=90.00
Element x y z (fractional)
Tl  0.000  0.000  0.000
Tl  0.750  0.250  0.500
Tc  0.500  0.500  0.000
Tc  0.250  0.750  0.500
Nb  0.573  0.125  0.250
Nb  0.177  0.625  0.250
Nb  0.375  0.427  0.750
Nb  0.875  0.823  0.750

[11]
This record from Alexandria via LeMat-Bulk describes a relaxed KWBr2 crystal. The functional is PBE.

Output
* formation energy (no corrections): 0.790 eV/atom
* space group: Fm-3m (225)

Unit cell a=5.001 b=5.001 c=5.001 alpha=60.00 beta=60.00 gamma=60.00
Element x y z (fractional)
K  0.000  0.000  0.000
Br  0.250  0.250  0.250
Br  0.750  0.750  0.750
W  0.500  0.500  0.500

[12]
This record from Alexandria via LeMat-Bulk describes a relaxed ZrFeHRu2 crystal. The functional is PBE.

Output
* total DFT energy (no corrections): -0.583 Ry/atom
* space group: P4/mmm (123)

Unit cell a=4.053 b=4.053 c=3.801 alpha=90.00 beta=90.00 gamma=90.00
Element x y z (fractional)
Ru  0.000  0.500  0.000
Ru  0.500  0.000  0.000
Fe  0.000  0.000  0.500
Zr  0.500  0.500  0.500
H  0.000  0.000  0.000

Number 1: density of states at the Fermi level 9.543 states/eV/f.u.. Number 2: density of states at the Fermi level 11.123 states/eV/f.u.. Number 3: density of states at the Fermi level 3.271 states/eV/f.u.. Number 4: density of states at the Fermi level 3.365 states/eV/f.u.. Number 5: density of states at the Fermi level 5.578 states/eV/f.u.. Number 6: density of states at the Fermi level 2.616 states/eV/f.u.. Number 7: density of states at the Fermi level 26.232 states/eV/f.u.. Number 8: density of states at the Fermi level 1.658 states/eV/f.u.. Number 9: density of states at the Fermi level 3.430 states/eV/f.u.. Number 10: density of states at the Fermi level 2.627 states/eV/f.u.. Number 11: density of states at the Fermi level 2.475 states/eV/f.u.. Number 12: density of states at the Fermi level 5.877 states/eV/f.u..